(1)
Entry from the Alexandria database: a geometry-optimized Li2OsPb3O6 structure (PBE-GGA).

Structure (POSCAR):
```
Li2OsPb3O6
1.0
-0.232 5.520 1.766
-4.803 -2.645 -1.890
-1.264 -1.957 5.951
Li Os Pb O
2 1 3 6
Direct
0.667 0.333 0.807
0.333 0.667 0.193
0.000 0.000 0.500
0.333 0.667 0.623
0.667 0.333 0.377
0.000 0.000 0.000
0.673 0.836 0.323
0.164 0.327 0.323
0.164 0.836 0.323
0.836 0.673 0.677
0.327 0.164 0.677
0.836 0.164 0.677
```

Output
ρ ... 8221 kg/m3
Symmetry ... P-3m1, No. 164
Raw formation energy ... -13.3 eV per formula unit
DOS(E_F) ... 3.65 states/eV/f.u.

=====

(2)
Entry from the Alexandria database: a geometry-optimized LiOsPb2O8 structure (PBE-GGA).

Structure (POSCAR):
```
LiOsPb2O8
1.0
4.951 -0.120 -0.003
-0.105 4.845 -0.005
0.004 0.007 6.704
Li Os Pb O
1 1 2 8
Direct
0.000 0.000 0.500
0.000 0.000 0.000
0.500 0.500 0.740
0.500 0.500 0.260
0.163 0.803 0.202
0.694 0.731 0.000
0.837 0.197 0.202
0.837 0.197 0.798
0.306 0.269 0.000
0.163 0.803 0.798
0.699 0.721 0.500
0.301 0.279 0.500
```

Output
ρ ... 7641 kg/m3
Symmetry ... P2/m, No. 10
Raw formation energy ... -11.4 eV per formula unit
DOS(E_F) ... 4.19 states/eV/f.u.

=====

(3)
Entry from the Alexandria database: a geometry-optimized LiPm2OsO8 structure (PBE-GGA).

Structure (POSCAR):
```
LiPm2OsO8
1.0
5.401 -0.248 0.260
-0.227 4.144 -0.265
0.382 -0.442 6.949
Li Pm Os O
1 2 1 8
Direct
0.000 0.000 0.500
0.520 0.322 0.724
0.480 0.678 0.276
0.000 0.000 0.000
0.067 0.803 0.218
0.710 0.712 0.966
0.803 0.265 0.168
0.933 0.197 0.782
0.290 0.288 0.034
0.197 0.735 0.832
0.658 0.787 0.569
0.342 0.213 0.431
```

Output
ρ ... 6626 kg/m3
Symmetry ... P-1, No. 2
Raw formation energy ... -23.1 eV per formula unit
DOS(E_F) ... 4.63 states/eV/f.u.

=====

(4)
Entry from the Alexandria database: a geometry-optimized LiPm2OsO6 structure (PBE-GGA).

Structure (POSCAR):
```
LiPm2OsO6
1.0
-4.359 2.689 1.827
-2.754 -5.069 0.890
2.775 -0.235 7.247
Li Pm Os O
2 4 2 12
Direct
0.500 0.000 0.000
0.000 0.500 0.500
0.019 0.926 0.252
0.519 0.574 0.752
0.981 0.074 0.748
0.481 0.426 0.248
0.500 0.000 0.500
0.000 0.500 0.000
0.299 0.683 0.051
0.799 0.817 0.551
0.701 0.317 0.949
0.201 0.183 0.449
0.323 0.710 0.443
0.823 0.790 0.943
0.677 0.290 0.557
0.177 0.210 0.057
0.894 0.536 0.244
0.394 0.964 0.744
0.106 0.464 0.756
0.606 0.036 0.256
```

Output
ρ ... 7859 kg/m3
Symmetry ... P2_1/c, No. 14
Raw formation energy ... -24.2 eV per formula unit

=====

(5)
Entry from the Alexandria database: a geometry-optimized LiPmOsO4 structure (PBE-GGA).

Structure (POSCAR):
```
LiPmOsO4
1.0
5.645 0.000 0.000
-2.822 5.809 -0.754
0.000 -3.806 6.259
Li Pm Os O
2 2 2 8
Direct
0.894 0.788 0.144
0.106 0.212 0.856
0.500 0.000 0.500
0.500 0.000 0.000
0.500 0.500 0.500
0.000 0.500 0.500
0.759 0.517 0.718
0.277 0.051 0.276
0.774 0.051 0.276
0.759 0.517 0.299
0.241 0.483 0.701
0.723 0.949 0.724
0.226 0.949 0.724
0.241 0.483 0.282
```

Output
ρ ... 7135 kg/m3
Symmetry ... Imma, No. 74
Raw formation energy ... -13.2 eV per formula unit
DOS(E_F) ... 2.79 states/eV/f.u.

=====

(6)
Entry from the Alexandria database: a geometry-optimized LiPmOsO6 structure (PBE-GGA).

Structure (POSCAR):
```
LiPmOsO6
1.0
-1.511 3.214 3.531
-3.900 -2.968 1.033
5.335 -4.721 6.580
Li Pm Os O
2 2 2 12
Direct
0.500 0.500 0.511
0.000 0.000 0.011
0.500 0.500 0.170
0.000 0.000 0.670
0.500 0.500 0.833
0.000 0.000 0.333
0.188 0.812 0.468
0.812 0.188 0.468
0.312 0.312 0.968
0.688 0.688 0.968
0.177 0.823 0.189
0.823 0.177 0.189
0.323 0.323 0.689
0.677 0.677 0.689
0.764 0.236 0.836
0.236 0.764 0.836
0.736 0.736 0.336
0.264 0.264 0.336
```

Output
ρ ... 5982 kg/m3
Symmetry ... P4_2nm, No. 102
Raw formation energy ... -15.7 eV per formula unit

=====

(7)
Entry from the Alexandria database: a geometry-optimized Li2PuOsO6 structure (PBE-GGA).

Structure (POSCAR):
```
Li2PuOsO6
1.0
-0.022 0.300 3.941
4.938 -3.107 0.264
3.118 4.925 -0.358
Li Pu Os O
2 1 1 6
Direct
0.802 0.500 0.000
0.802 0.000 0.500
0.717 0.000 0.000
0.729 0.500 0.500
0.736 0.259 0.259
0.736 0.259 0.741
0.233 0.500 0.500
0.219 0.000 0.000
0.736 0.741 0.741
0.736 0.741 0.259
```

Output
ρ ... 6703 kg/m3
Symmetry ... P4mm, No. 99
Raw formation energy ... -18.3 eV per formula unit
DOS(E_F) ... 5.31 states/eV/f.u.

=====

(8)
Entry from the Alexandria database: a geometry-optimized Li2PuOsO8 structure (PBE-GGA).

Structure (POSCAR):
```
Li2PuOsO8
1.0
-2.571 3.945 -0.753
0.163 -1.009 -4.654
-5.317 -3.361 0.543
Li Pu Os O
2 1 1 8
Direct
0.500 0.500 0.772
0.500 0.500 0.228
0.000 0.000 0.500
0.000 0.000 0.000
0.190 0.810 0.229
0.727 0.727 0.000
0.810 0.190 0.229
0.810 0.190 0.771
0.273 0.273 0.000
0.190 0.810 0.771
0.722 0.722 0.500
0.278 0.278 0.500
```

Output
ρ ... 6674 kg/m3
Symmetry ... Cmmm, No. 65
Raw formation energy ... -20.7 eV per formula unit
DOS(E_F) ... 0.10 states/eV/f.u.

=====

(9)
Entry from the Alexandria database: a geometry-optimized Rb2LiOs2O6 structure (PBE-GGA).

Structure (POSCAR):
```
Rb2LiOs2O6
1.0
6.599 -2.749 0.000
6.599 2.749 0.000
5.453 0.000 4.622
Rb Li Os O
2 1 2 6
Direct
0.155 0.155 0.155
0.845 0.845 0.845
0.000 0.000 0.000
0.335 0.335 0.335
0.665 0.665 0.665
0.569 0.950 0.321
0.950 0.321 0.569
0.321 0.569 0.950
0.431 0.050 0.679
0.679 0.431 0.050
0.050 0.679 0.431
```

Output
Offset from the most stable computed form ... 0 meV/atom
ρ ... 6479 kg/m3
Symmetry ... R-3, No. 148
Raw formation energy ... -13.2 eV per formula unit
DOS(E_F) ... 5.18 states/eV/f.u.

=====

(10)
Entry from the Alexandria database: a geometry-optimized RbLi2Os2O7 structure (PBE-GGA).

Structure (POSCAR):
```
RbLi2Os2O7
1.0
3.878 0.000 0.000
0.000 3.879 -0.001
-1.939 -1.941 9.123
Rb Li Os O
1 2 2 7
Direct
0.000 0.000 0.000
0.250 0.750 0.500
0.750 0.250 0.500
0.387 0.387 0.774
0.613 0.613 0.226
0.387 0.887 0.774
0.718 0.718 0.435
0.113 0.613 0.226
0.613 0.113 0.226
0.283 0.282 0.565
0.887 0.387 0.774
0.500 0.500 0.000
```

Output
ρ ... 7162 kg/m3
Symmetry ... I4/mmm, No. 139
Raw formation energy ... -15.8 eV per formula unit
DOS(E_F) ... 6.05 states/eV/f.u.

=====

(11)
Entry from the Alexandria database: a geometry-optimized Rb3LiOs2O8 structure (PBE-GGA).

Structure (POSCAR):
```
Rb3LiOs2O8
1.0
6.087 0.000 0.000
-3.043 5.271 0.000
0.000 0.000 8.009
Rb Li Os O
3 1 2 8
Direct
0.333 0.667 0.658
0.667 0.333 0.342
0.000 0.000 0.000
0.000 0.000 0.500
0.333 0.667 0.228
0.667 0.333 0.772
0.333 0.667 0.005
0.667 0.333 0.995
0.174 0.826 0.319
0.826 0.174 0.681
0.174 0.348 0.319
0.826 0.652 0.681
0.652 0.826 0.319
0.348 0.174 0.681
```

Output
ρ ... 4987 kg/m3
Symmetry ... P-3m1, No. 164
Raw formation energy ... -18.7 eV per formula unit

=====

(12)
Entry from the Alexandria database: a geometry-optimized Rb2LiOs2O6 structure (PBE-GGA).

Structure (POSCAR):
```
Rb2LiOs2O6
1.0
9.145 -2.762 0.308
9.145 2.762 0.308
8.154 0.000 4.988
Rb Li Os O
2 1 2 6
Direct
0.094 0.094 0.094
0.910 0.910 0.910
0.250 0.250 0.250
0.336 0.336 0.336
0.666 0.666 0.666
0.531 0.964 0.377
0.964 0.377 0.531
0.377 0.531 0.964
0.446 0.033 0.639
0.639 0.446 0.033
0.033 0.639 0.446
```

Output
Offset from the most stable computed form ... 112 meV/atom
ρ ... 4564 kg/m3
Symmetry ... R3, No. 146
Raw formation energy ... -12.0 eV per formula unit
DOS(E_F) ... 4.32 states/eV/f.u.